(1)
Here is a relaxed structure of CdNCl3 from the Alexandria database. Energies are from PBE-GGA.

## Properties
Symmetry   Pm-3m
N(E_F)   1.7 states/eV/cell
Calculated volume   18.341 Å³ per atom

Cell lengths 4.509, 4.509, 4.509 Å; angles 90.00, 90.00, 90.00 degrees
Fractional positions:
Cd 0.000 0.000 0.000
N 0.500 0.500 0.500
Cl 0.000 0.500 0.500
Cl 0.500 0.000 0.500
Cl 0.500 0.500 0.000



(2)
Here is a relaxed structure of CdN2Cl from the Alexandria database. Energies are from PBE-GGA.

## Properties
Symmetry   P-1
Calculated volume   31.069 Å³ per atom

Cell lengths 3.742, 6.319, 10.906 Å; angles 74.78, 87.24, 89.32 degrees
Fractional positions:
Cd 0.000 0.000 0.000
Cd 0.000 0.500 0.000
N 0.159 0.170 0.649
N 0.270 0.229 0.550
N 0.730 0.771 0.450
N 0.841 0.830 0.351
Cl 0.478 0.425 0.169
Cl 0.522 0.575 0.831



Respective E values: -2.321; -5.145 eV/atom.
Respective total magnetic moment values: 0.0; 0.0 μB per formula unit.